(1)
8
Lattice="4.7183 0.0000 -0.0210 0.0000 4.7124 0.0000 -2.3175 0.0000 11.4839" Properties=species:S:1:pos:R:3 comment="PmTh2Sn, relaxed, DFT PBE-GGA" m_tot_mub_per_fu=0.000 polymorph_energy_mev_per_atom=0 formation_energy_ev_per_atom=-0.35 rho_g_cm3=9.5 pbc="T T T"
Pm 2.3770 3.5343 4.4222
Pm 0.0238 1.1781 7.0408
Sn 2.3825 3.5343 7.6175
Sn 0.0182 1.1781 3.8455
Th 0.0026 3.5343 1.3838
Th 2.3628 1.1781 1.3564
Th 0.0379 3.5343 10.1066
Th 2.3982 1.1781 10.0792

***

(2)
4
Lattice="-2.0914 -2.9814 -4.1660 1.4558 -2.8477 -4.5154 0.3805 -3.6908 2.4508" Properties=species:S:1:pos:R:3 comment="YZrPt2, relaxed, DFT PBE-GGA" m_tot_mub_per_fu=0.000 formation_energy_ev_per_atom=-1.13 rho_g_cm3=11.4 pbc="T T T"
Pt -0.5649 -6.0783 -8.0590
Pt -0.2603 -6.8740 -5.2710
Zr -0.1026 -1.8381 -1.7441
Y -0.0905 -5.3185 -2.9532

***

What did the second record say?
4
Lattice="-2.0914 -2.9814 -4.1660 1.4558 -2.8477 -4.5154 0.3805 -3.6908 2.4508" Properties=species:S:1:pos:R:3 comment="YZrPt2, relaxed, DFT PBE-GGA" m_tot_mub_per_fu=0.000 formation_energy_ev_per_atom=-1.13 rho_g_cm3=11.4 pbc="T T T"
Pt -0.5649 -6.0783 -8.0590
Pt -0.2603 -6.8740 -5.2710
Zr -0.1026 -1.8381 -1.7441
Y -0.0905 -5.3185 -2.9532